# Ba2MnCl2O2

A geometry-optimized Ba2MnCl2O2 structure (GGA+U, Alexandria).

Lattice parameters (Å, degrees): 4.3438 4.3438 16.1567 90.00 90.00 90.00
With the nearest neighbours (Å) after each atom.
Space group I4/mmm (No. 139)
Unique sites:
Ba 0.0000 0.0000 0.1099 x4  4 O 2.81
Mn 0.0000 0.0000 0.5000 x2  4 O 2.17
Cl 0.0000 0.0000 0.3210 x4  1 Mn 2.89
O 0.0000 0.5000 0.0000 x4  2 Mn 2.17

Results
crystal system = tetragonal
total DFT energy (no corrections) = -0.216 hartree per atom